# KRbHCl

A relaxed KRbHCl crystal (PBE-GGA, Alexandria).

* excess energy over the best structure of this formula in the dataset: 0.0 meV/atom
* volume: 27.11 Å³ per atom
* E: -2.78 eV/atom
* D(E_F): 0.0 states/eV/f.u.

Geometry as CIF:
```
data_KRbHCl
_chemical_formula_sum 'K4 Rb4 H4 Cl4'
_symmetry_space_group_name_H-M 'F -4 3 m'
_symmetry_Int_Tables_number 216
_symmetry_space_group_name_Hall 'F -4 2 3'
_cell_length_a 7.570
_cell_length_b 7.570
_cell_length_c 7.570
_cell_angle_alpha 90.00
_cell_angle_beta 90.00
_cell_angle_gamma 90.00
loop_
_atom_site_label
_atom_site_type_symbol
_atom_site_fract_x
_atom_site_fract_y
_atom_site_fract_z
K1 K 0.000 0.000 0.000
Rb1 Rb 0.000 0.000 0.500
H1 H 0.250 0.250 0.250
Cl1 Cl 0.250 0.250 0.750
```